A plane-wave DFT calculation with PBE was carried out for a relaxed structure of Ce2HoPuSb4.

a = 7.6803 Å, b = 4.4576 Å, c = 7.7151 Å
α = 90.00°, β = 109.58°, γ = 90.00°
Last column: nearest neighbours and their distance in Å.
Space group P2/m (No. 10)
Symmetry-distinct sites (fractional):
Ce: 0.0000 0.0000 0.0000 x1  6 Sb 3.17
Ce: 0.0000 0.5000 0.5000 x1  6 Sb 3.15-3.16
Ho: 0.5000 0.0000 0.5000 x1  6 Sb 3.11-3.12
Pu: 0.5000 0.5000 0.0000 x1  6 Sb 3.13-3.14
Sb: 0.2545 0.0000 0.7497 x2  1 Ho 3.11, 2 Pu 3.13, 3 Ce 3.16-3.17
Sb: 0.2552 0.5000 0.2538 x2  2 Ho 3.12, 1 Pu 3.14, 3 Ce 3.15-3.17

Values from the calculation:
For the uncorrected formation energy, the calculation gives -7.62 eV per formula unit. The spin magnetization is 6.84 Bohr magnetons per cell. The value obtained for the calculated volume is 31.1 A^3/atom.